(1)
# Ac5In2N2

An optimized crystal structure of Ac5In2N2 (GGA-PBE, Alexandria via LeMat-Bulk).

Summary:
- offset from the most stable computed form (meV per atom) = 34
- crystal system = tetragonal
- ΔE_f (raw) (meV per atom) = -635

Cell and atoms, written as POSCAR:
```
Ac5In2N2
1.0
5.251 0.000 0.000
0.000 5.251 0.000
0.000 0.000 10.466
Ac In N
5 2 2
Direct
0.000 0.000 0.000 Ac
0.000 0.500 0.281 Ac
0.000 0.500 0.719 Ac
0.500 0.000 0.281 Ac
0.500 0.000 0.719 Ac
0.500 0.500 0.000 In
0.500 0.500 0.500 In
0.000 0.000 0.241 N
0.000 0.000 0.759 N
```

(2)
# Ac5In2N

An optimized crystal structure of Ac5In2N (GGA-PBE, Alexandria via LeMat-Bulk).

Summary:
- crystal system = orthorhombic
- ΔE_f (raw) (meV per atom) = -462

Cell and atoms, written as POSCAR:
```
Ac5In2N
1.0
9.591 0.000 0.000
0.000 7.407 0.000
0.000 0.000 15.517
Ac In N
20 8 4
Direct
0.000 0.000 0.000 Ac
0.000 0.500 0.000 Ac
0.053 0.250 0.207 Ac
0.139 0.501 0.605 Ac
0.139 0.999 0.605 Ac
0.227 0.750 0.380 Ac
0.273 0.250 0.880 Ac
0.361 0.001 0.105 Ac
0.361 0.499 0.105 Ac
0.447 0.750 0.707 Ac
0.500 0.000 0.500 Ac
0.500 0.500 0.500 Ac
0.553 0.250 0.293 Ac
0.639 0.501 0.895 Ac
0.639 0.999 0.895 Ac
0.727 0.750 0.120 Ac
0.773 0.250 0.620 Ac
0.861 0.001 0.395 Ac
0.861 0.499 0.395 Ac
0.947 0.750 0.793 Ac
0.057 0.750 0.193 In
0.201 0.250 0.413 In
0.299 0.750 0.913 In
0.443 0.250 0.693 In
0.557 0.750 0.307 In
0.701 0.250 0.087 In
0.799 0.750 0.587 In
0.943 0.250 0.807 In
0.189 0.250 0.056 N
0.311 0.750 0.556 N
0.689 0.250 0.444 N
0.811 0.750 0.944 N
```

(3)
# Ac12In3N5

An optimized crystal structure of Ac12In3N5 (GGA-PBE, Alexandria via LeMat-Bulk).

Summary:
- crystal system = cubic
- ΔE_f (raw) (meV per atom) = -629

Cell and atoms, written as POSCAR:
```
Ac12In3N5
1.0
-8.657 8.657 8.657
8.657 -8.657 8.657
8.657 8.657 -8.657
Ac In N
48 12 20
Direct
0.011 0.197 0.110 Ac
0.011 0.314 0.901 Ac
0.087 0.697 0.686 Ac
0.087 0.890 0.401 Ac
0.099 0.610 0.413 Ac
0.099 0.989 0.686 Ac
0.110 0.011 0.197 Ac
0.110 0.599 0.913 Ac
0.186 0.197 0.587 Ac
0.186 0.489 0.599 Ac
0.197 0.110 0.011 Ac
0.197 0.587 0.186 Ac
0.303 0.314 0.913 Ac
0.303 0.489 0.390 Ac
0.314 0.901 0.011 Ac
0.314 0.913 0.303 Ac
0.390 0.303 0.489 Ac
0.390 0.587 0.901 Ac
0.401 0.087 0.890 Ac
0.401 0.814 0.511 Ac
0.413 0.099 0.610 Ac
0.413 0.814 0.803 Ac
0.489 0.390 0.303 Ac
0.489 0.599 0.186 Ac
0.511 0.401 0.814 Ac
0.511 0.610 0.697 Ac
0.587 0.186 0.197 Ac
0.587 0.901 0.390 Ac
0.599 0.186 0.489 Ac
0.599 0.913 0.110 Ac
0.610 0.413 0.099 Ac
0.610 0.697 0.511 Ac
0.686 0.087 0.697 Ac
0.686 0.099 0.989 Ac
0.697 0.511 0.610 Ac
0.697 0.686 0.087 Ac
0.803 0.413 0.814 Ac
0.803 0.890 0.989 Ac
0.814 0.511 0.401 Ac
0.814 0.803 0.413 Ac
0.890 0.401 0.087 Ac
0.890 0.989 0.803 Ac
0.901 0.011 0.314 Ac
0.901 0.390 0.587 Ac
0.913 0.110 0.599 Ac
0.913 0.303 0.314 Ac
0.989 0.686 0.099 Ac
0.989 0.803 0.890 Ac
0.125 0.250 0.375 In
0.125 0.375 0.750 In
0.250 0.375 0.125 In
0.250 0.875 0.625 In
0.375 0.125 0.250 In
0.375 0.750 0.125 In
0.625 0.250 0.875 In
0.625 0.875 0.750 In
0.750 0.125 0.375 In
0.750 0.625 0.875 In
0.875 0.625 0.250 In
0.875 0.750 0.625 In
0.000 0.000 0.000 N
0.000 0.000 0.500 N
0.000 0.500 0.000 N
0.000 0.500 0.500 N
0.125 0.750 0.875 N
0.125 0.875 0.250 N
0.250 0.125 0.875 N
0.250 0.625 0.375 N
0.375 0.250 0.625 N
0.375 0.625 0.750 N
0.500 0.000 0.000 N
0.500 0.000 0.500 N
0.500 0.500 0.000 N
0.500 0.500 0.500 N
0.625 0.375 0.250 N
0.625 0.750 0.375 N
0.750 0.375 0.625 N
0.750 0.875 0.125 N
0.875 0.125 0.750 N
0.875 0.250 0.125 N
```

Q: The lowest ΔE_f (raw) belongs to which entry?
A: Ac5In2N2